[1]
A plane-wave DFT calculation with PBE-GGA was carried out for crystalline KBaSe2N at its relaxed geometry.

Results
* raw formation energy: 0.27 eV per atom
* density: 3.40 g/cm³
* distance to the lowest polymorph of the same formula: 12.0 kJ/mol of atoms
* spin magnetization: 4.0 μB/cell

POSCAR file:
```
KBaSe2N
1.0
-4.3373 2.1609 -3.2799
0.5719 -4.4868 -3.7123
-3.2981 -2.6076 2.6434
K N Ba Se
1 1 1 2
Direct
0.0000 0.0000 0.0000
0.0000 0.0000 0.5000
0.5000 0.5000 0.5000
0.0000 0.5000 0.0000
0.5000 0.0000 0.0000
```


[2]
A plane-wave DFT calculation with PBE-GGA was carried out for crystalline CsSnI2N at its relaxed geometry.

Results
* raw formation energy: -0.13 eV per atom
* density: 5.08 g/cm³
* distance to the lowest polymorph of the same formula: 0.0 kJ/mol of atoms
* spin magnetization: 0.2 μB/cell

POSCAR file:
```
CsSnI2N
1.0
6.4792 0.0000 0.0000
0.0000 6.4792 0.0000
0.0000 0.0000 4.0413
I Cs Sn N
2 1 1 1
Direct
0.0000 0.5000 0.0000
0.5000 0.0000 0.0000
0.5000 0.5000 0.5000
0.0000 0.0000 0.0000
0.0000 0.0000 0.5000
```


[3]
A plane-wave DFT calculation with PBE-GGA was carried out for crystalline CaLa2Pt at its relaxed geometry.

Results
* density: 7.54 g/cm³
* distance to the lowest polymorph of the same formula: 33.5 kJ/mol of atoms
* formation energy: -92 kJ/mol of formula units
* spin magnetization: 0.0 μB/cell

POSCAR file:
```
CaLa2Pt
1.0
-2.0755 -4.8978 1.0696
-5.3792 -0.6852 0.1868
-2.5165 -2.7934 -3.9121
La Pt Ca
2 1 1
Direct
0.2500 0.2500 0.2500
0.7500 0.7500 0.7500
0.5000 0.5000 0.5000
0.0000 0.0000 0.0000
```


[4]
A plane-wave DFT calculation with PBE-GGA was carried out for crystalline InBiS2N at its relaxed geometry.

Results
* raw formation energy: 0.65 eV per atom
* density: 6.08 g/cm³
* distance to the lowest polymorph of the same formula: 0.0 kJ/mol of atoms
* spin magnetization: 1.3 μB/cell

POSCAR file:
```
InBiS2N
1.0
-0.0772 1.9945 -4.6517
-3.3236 -3.5286 -1.4578
-3.2309 2.5664 1.1540
In N Bi S
1 1 1 2
Direct
0.0000 0.0000 0.0000
0.0000 0.0000 0.5000
0.5000 0.5000 0.5000
0.0000 0.5000 0.0000
0.5000 0.0000 0.0000
```


[5]
A plane-wave DFT calculation with PBE-GGA was carried out for crystalline La2NbGeCl at its relaxed geometry.

Results
* raw formation energy: 0.54 eV per atom
* density: 4.64 g/cm³
* spin magnetization: 5.1 μB/cell

POSCAR file:
```
La2NbGeCl
1.0
-4.9366 1.7223 2.7731
-1.5278 -4.6477 0.1670
2.6916 -0.6971 5.2245
Ge La Nb Cl
1 2 1 1
Direct
0.0000 0.0000 0.0000
0.5000 0.0000 0.0000
0.0000 0.0000 0.5000
0.5000 0.5000 0.5000
0.0000 0.5000 0.0000
```


[6]
A plane-wave DFT calculation with PBE-GGA was carried out for crystalline Tb2SiBr at its relaxed geometry.

Results
* raw formation energy: -1.03 eV per atom
* density: 6.64 g/cm³
* distance to the lowest polymorph of the same formula: 0.0 kJ/mol of atoms
* spin magnetization: 0.0 μB/cell

POSCAR file:
```
Tb2SiBr
1.0
-2.1731 1.7647 -3.0833
1.0295 -0.7469 -3.9656
-4.7720 -5.2274 -2.4411
Tb Si Br
2 1 1
Direct
0.7353 0.7353 0.7940
0.2647 0.2647 0.2060
0.0000 0.0000 0.0000
0.5000 0.5000 0.5000
```


[7]
A plane-wave DFT calculation with PBE-GGA was carried out for crystalline Pr2BiS5 at its relaxed geometry.

Results
* raw formation energy: -1.22 eV per atom
* density: 4.16 g/cm³
* spin magnetization: 0.0 μB/cell

POSCAR file:
```
Pr2BiS5
1.0
5.4460 0.0000 0.0000
-2.7230 7.0814 0.0000
0.0000 0.0000 13.4727
S Bi Pr
10 2 4
Direct
0.0405 0.0809 0.3975
0.2928 0.5856 0.4122
0.2736 0.5472 0.7500
0.2928 0.5856 0.0878
0.9595 0.9191 0.6025
0.0405 0.0809 0.1025
0.7072 0.4144 0.5878
0.9595 0.9191 0.8975
0.7072 0.4144 0.9122
0.7264 0.4528 0.2500
0.8356 0.6712 0.7500
0.1644 0.3288 0.2500
0.8443 0.6887 0.0696
0.8443 0.6887 0.4304
0.1557 0.3113 0.5696
0.1557 0.3113 0.9304
```


[8]
A plane-wave DFT calculation with PBE-GGA was carried out for crystalline Y3Zn2Ag4 at its relaxed geometry.

Results
* density: 7.09 g/cm³
* formation energy: -270 kJ/mol of formula units
* spin magnetization: 0.0 μB/cell

POSCAR file:
```
Y3Zn2Ag4
1.0
4.4920 0.0000 1.1983
1.9740 5.2360 1.6190
0.2098 -0.3735 8.2324
Ag Y Zn
4 3 2
Direct
0.7183 0.6255 0.9379
0.2817 0.3745 0.0621
0.0551 0.2734 0.6165
0.9449 0.7266 0.3835
0.6672 0.3290 0.3365
0.3328 0.6710 0.6635
0.0000 0.0000 0.0000
0.3918 0.9385 0.2780
0.6082 0.0615 0.7220
```